Entry 1:
An optimized crystal structure of Zr2Fe. Source: Alexandria, functional PBE-GGA.

Properties
SG: No. 227
Theoretical density: 7.03 g/cm3
V: 451 Å³/cell
Energy of formation: -0.083 eV per atom

POSCAR file:
```
Zr2Fe
1.0
0.0000 6.0849 6.0849
6.0849 0.0000 6.0849
6.0849 6.0849 0.0000
Zr Fe
16 8
Direct
0.0000 0.0000 0.0000 Zr
0.0000 0.0000 0.5000 Zr
0.0000 0.5000 0.0000 Zr
0.1866 0.1866 0.5634 Zr
0.1866 0.5634 0.1866 Zr
0.1866 0.5634 0.5634 Zr
0.4366 0.4366 0.8134 Zr
0.4366 0.8134 0.4366 Zr
0.4366 0.8134 0.8134 Zr
0.5000 0.0000 0.0000 Zr
0.5634 0.1866 0.1866 Zr
0.5634 0.1866 0.5634 Zr
0.5634 0.5634 0.1866 Zr
0.8134 0.4366 0.4366 Zr
0.8134 0.4366 0.8134 Zr
0.8134 0.8134 0.4366 Zr
0.1478 0.7841 0.7841 Fe
0.2159 0.2159 0.2159 Fe
0.2159 0.2159 0.8522 Fe
0.2159 0.8522 0.2159 Fe
0.7841 0.1478 0.7841 Fe
0.7841 0.7841 0.1478 Fe
0.7841 0.7841 0.7841 Fe
0.8522 0.2159 0.2159 Fe
```

Entry 2:
An optimized crystal structure of ZrFe. Source: Alexandria, functional PBE-GGA.

Properties
SG: No. 194
Theoretical density: 6.76 g/cm3
V: 217 Å³/cell
Energy of formation: 0.052 eV per atom

POSCAR file:
```
ZrFe
1.0
7.7168 0.0000 0.0000
-3.8584 6.6829 0.0000
0.0000 0.0000 4.2036
Zr Fe
6 6
Direct
0.1864 0.3728 0.2500 Zr
0.1864 0.8136 0.2500 Zr
0.3728 0.1864 0.7500 Zr
0.6272 0.8136 0.2500 Zr
0.8136 0.1864 0.7500 Zr
0.8136 0.6272 0.7500 Zr
0.1272 0.5636 0.7500 Fe
0.4364 0.5636 0.7500 Fe
0.4364 0.8728 0.7500 Fe
0.5636 0.1272 0.2500 Fe
0.5636 0.4364 0.2500 Fe
0.8728 0.4364 0.2500 Fe
```

Entry 3:
An optimized crystal structure of Zr2Fe. Source: Alexandria, functional PBE-GGA.

Properties
SG: No. 191
Theoretical density: 7.09 g/cm3
V: 56 Å³/cell
Energy of formation: 0.389 eV per atom

POSCAR file:
```
Zr2Fe
1.0
4.8117 0.0000 0.0000
-2.4058 4.1670 0.0000
0.0000 0.0000 2.7850
Zr Fe
2 1
Direct
0.3333 0.6667 0.0000 Zr
0.6667 0.3333 0.0000 Zr
0.0000 0.0000 0.5000 Fe
```

Entry 4:
An optimized crystal structure of Zr4Fe. Source: Alexandria, functional PBE-GGA.

Properties
SG: No. 229
Theoretical density: 6.15 g/cm3
V: 114 Å³/cell
Energy of formation: 0.483 eV per atom

POSCAR file:
```
Zr4Fe
1.0
-3.0518 3.0518 3.0518
3.0518 -3.0518 3.0518
3.0518 3.0518 -3.0518
Zr Fe
4 1
Direct
0.0000 0.0000 0.5000 Zr
0.0000 0.5000 0.0000 Zr
0.5000 0.0000 0.0000 Zr
0.5000 0.5000 0.5000 Zr
0.0000 0.0000 0.0000 Fe
```

Entry 5:
An optimized crystal structure of ZrFe3. Source: Alexandria, functional PBE-GGA.

Properties
SG: No. 10
Theoretical density: 7.56 g/cm3
V: 57 Å³/cell
Energy of formation: 0.082 eV per atom

POSCAR file:
```
ZrFe3
1.0
2.8200 0.0000 0.0000
0.0000 3.9481 0.0000
-1.3895 0.0000 5.1044
Zr Fe
1 3
Direct
0.0000 0.0000 0.0000 Zr
0.2717 0.5000 0.7138 Fe
0.5000 0.0000 0.5000 Fe
0.7283 0.5000 0.2862 Fe
```

Entry 6:
An optimized crystal structure of Zr13Fe2. Source: Alexandria, functional PBE-GGA.

Properties
SG: No. 2
Theoretical density: 6.68 g/cm3
V: 323 Å³/cell
Energy of formation: -0.038 eV per atom

POSCAR file:
```
Zr13Fe2
1.0
5.7188 0.0000 0.0000
-0.5941 5.7014 0.0000
-2.1048 -2.9697 9.8991
Zr Fe
13 2
Direct
0.0000 0.0000 0.0000 Zr
0.1510 0.5567 0.1486 Zr
0.1517 0.7757 0.4815 Zr
0.2364 0.1197 0.7844 Zr
0.3033 0.1232 0.2961 Zr
0.3948 0.3860 0.6078 Zr
0.4122 0.7127 0.9213 Zr
0.5878 0.2873 0.0787 Zr
0.6052 0.6140 0.3922 Zr
0.6967 0.8768 0.7039 Zr
0.7636 0.8803 0.2156 Zr
0.8483 0.2243 0.5185 Zr
0.8490 0.4433 0.8514 Zr
0.0767 0.6441 0.7033 Fe
0.9233 0.3559 0.2967 Fe
```

Entry 7:
An optimized crystal structure of Zr3Fe4. Source: Alexandria, functional PBE-GGA.

Properties
SG: No. 191
Theoretical density: 6.60 g/cm3
V: 125 Å³/cell
Energy of formation: 0.536 eV per atom

POSCAR file:
```
Zr3Fe4
1.0
5.6951 0.0000 0.0000
-2.8476 4.9321 0.0000
0.0000 0.0000 4.4525
Zr Fe
3 4
Direct
0.0000 0.5000 0.0000 Zr
0.5000 0.0000 0.0000 Zr
0.5000 0.5000 0.0000 Zr
0.0000 0.0000 0.2518 Fe
0.0000 0.0000 0.7482 Fe
0.3333 0.6667 0.5000 Fe
0.6667 0.3333 0.5000 Fe
```

Entry 8:
An optimized crystal structure of Zr3Fe. Source: Alexandria, functional PBE-GGA.

Properties
SG: No. 166
Theoretical density: 6.74 g/cm3
V: 81 Å³/cell
Energy of formation: 0.117 eV per atom

POSCAR file:
```
Zr3Fe
1.0
1.6106 0.9299 9.0335
-1.6106 0.9299 9.0335
0.0000 -1.8597 9.0335
Zr Fe
3 1
Direct
0.0000 0.0000 0.0000 Zr
0.2362 0.2362 0.2362 Zr
0.7638 0.7638 0.7638 Zr
0.5000 0.5000 0.5000 Fe
```

Entry 9:
An optimized crystal structure of Zr3Fe. Source: Alexandria, functional PBE-GGA.

Properties
SG: No. 10
Theoretical density: 6.89 g/cm3
V: 79 Å³/cell
Energy of formation: 0.095 eV per atom

POSCAR file:
```
Zr3Fe
1.0
3.2824 0.0000 0.0000
0.0000 4.2901 0.0000
-1.6036 0.0000 5.6416
Zr Fe
3 1
Direct
0.0000 0.0000 0.0000 Zr
0.4099 0.5000 0.7231 Zr
0.5901 0.5000 0.2769 Zr
0.0000 0.0000 0.5000 Fe
```

Entry 10:
An optimized crystal structure of ZrFe6. Source: Alexandria, functional PBE-GGA.

Properties
SG: No. 229
Theoretical density: 6.80 g/cm3
V: 104 Å³/cell
Energy of formation: 0.755 eV per atom

POSCAR file:
```
ZrFe6
1.0
-2.9627 2.9627 2.9627
2.9627 -2.9627 2.9627
2.9627 2.9627 -2.9627
Zr Fe
1 6
Direct
0.0000 0.0000 0.0000 Zr
0.2500 0.5000 0.7500 Fe
0.2500 0.7500 0.5000 Fe
0.5000 0.2500 0.7500 Fe
0.5000 0.7500 0.2500 Fe
0.7500 0.2500 0.5000 Fe
0.7500 0.5000 0.2500 Fe
```

Entry 11:
An optimized crystal structure of Zr3Fe. Source: Alexandria, functional PBE-GGA.

Properties
SG: No. 63
Theoretical density: 6.83 g/cm3
V: 160 Å³/cell
Energy of formation: -0.120 eV per atom

POSCAR file:
```
Zr3Fe
1.0
1.6396 -5.4471 0.0000
1.6396 5.4471 0.0000
0.0000 0.0000 8.9658
Zr Fe
6 2
Direct
0.0796 0.9204 0.7500 Zr
0.3626 0.6374 0.5589 Zr
0.3626 0.6374 0.9411 Zr
0.6374 0.3626 0.0589 Zr
0.6374 0.3626 0.4411 Zr
0.9204 0.0796 0.2500 Zr
0.2320 0.7680 0.2500 Fe
0.7680 0.2320 0.7500 Fe
```

Entry 12:
An optimized crystal structure of ZrFe. Source: Alexandria, functional PBE-GGA.

Properties
SG: No. 136
Theoretical density: 6.89 g/cm3
V: 142 Å³/cell
Energy of formation: 0.300 eV per atom

POSCAR file:
```
ZrFe
1.0
5.2092 0.0000 0.0000
0.0000 5.2092 0.0000
0.0000 0.0000 5.2271
Zr Fe
4 4
Direct
0.2085 0.2085 0.0000 Zr
0.2915 0.7085 0.5000 Zr
0.7085 0.2915 0.5000 Zr
0.7915 0.7915 0.0000 Zr
0.1899 0.1899 0.5000 Fe
0.3101 0.6899 0.0000 Fe
0.6899 0.3101 0.0000 Fe
0.8101 0.8101 0.5000 Fe
```

Entry 13:
An optimized crystal structure of Zr4Fe. Source: Alexandria, functional PBE-GGA.

Properties
SG: No. 139
Theoretical density: 6.06 g/cm3
V: 115 Å³/cell
Energy of formation: 0.741 eV per atom

POSCAR file:
```
Zr4Fe
1.0
-1.9702 1.9702 7.4256
1.9702 -1.9702 7.4256
1.9702 1.9702 -7.4256
Zr Fe
4 1
Direct
0.0883 0.0883 0.0000 Zr
0.2500 0.7500 0.5000 Zr
0.7500 0.2500 0.5000 Zr
0.9117 0.9117 0.0000 Zr
0.5000 0.5000 0.0000 Fe
```

Entry 14:
An optimized crystal structure of Zr3Fe4. Source: Alexandria, functional PBE-GGA.

Properties
SG: No. 139
Theoretical density: 7.27 g/cm3
V: 113 Å³/cell
Energy of formation: -0.005 eV per atom

POSCAR file:
```
Zr3Fe4
1.0
-1.5633 1.5633 11.6065
1.5633 -1.5633 11.6065
1.5633 1.5633 -11.6065
Zr Fe
3 4
Direct
0.0000 0.0000 0.0000 Zr
0.2992 0.2992 0.0000 Zr
0.7008 0.7008 0.0000 Zr
0.1262 0.1262 0.0000 Fe
0.4270 0.4270 0.0000 Fe
0.5730 0.5730 0.0000 Fe
0.8738 0.8738 0.0000 Fe
```

Entry 15:
An optimized crystal structure of Zr7Fe3. Source: Alexandria, functional PBE-GGA.

Properties
SG: No. 186
Theoretical density: 6.92 g/cm3
V: 387 Å³/cell
Energy of formation: -0.115 eV per atom

POSCAR file:
```
Zr7Fe3
1.0
8.9004 0.0000 0.0000
-4.4502 7.7080 0.0000
0.0000 0.0000 5.6398
Zr Fe
14 6
Direct
0.0748 0.5374 0.0000 Zr
0.1281 0.2562 0.2883 Zr
0.1281 0.8719 0.2883 Zr
0.2562 0.1281 0.7883 Zr
0.3333 0.6667 0.5095 Zr
0.4626 0.5374 0.0000 Zr
0.4626 0.9252 0.0000 Zr
0.5374 0.0748 0.5000 Zr
0.5374 0.4626 0.5000 Zr
0.6667 0.3333 0.0095 Zr
0.7438 0.8719 0.2883 Zr
0.8719 0.1281 0.7883 Zr
0.8719 0.7438 0.7883 Zr
0.9252 0.4626 0.5000 Zr
0.1869 0.3738 0.7530 Fe
0.1869 0.8131 0.7530 Fe
0.3738 0.1869 0.2530 Fe
0.6262 0.8131 0.7530 Fe
0.8131 0.1869 0.2530 Fe
0.8131 0.6262 0.2530 Fe
```

Entry 16:
An optimized crystal structure of Ga. Source: Alexandria, functional PBE-GGA.

Properties
SG: No. 176
Theoretical density: 4.24 g/cm3
V: 328 Å³/cell
Energy of formation: 0.130 eV per atom

POSCAR file:
```
Ga
1.0
9.4235 0.0000 0.0000
-4.7117 8.1610 0.0000
0.0000 0.0000 4.2623
Ga
12
Direct
0.0167 0.6180 0.2500 Ga
0.1895 0.7112 0.7500 Ga
0.2888 0.4783 0.7500 Ga
0.3820 0.3987 0.2500 Ga
0.3987 0.0167 0.7500 Ga
0.4783 0.1895 0.2500 Ga
0.5217 0.8105 0.7500 Ga
0.6013 0.9833 0.2500 Ga
0.6180 0.6013 0.7500 Ga
0.7112 0.5217 0.2500 Ga
0.8105 0.2888 0.2500 Ga
0.9833 0.3820 0.7500 Ga
```

Entry 17:
An optimized crystal structure of Ga. Source: Alexandria, functional PBE-GGA.

Properties
SG: No. 2
Theoretical density: 6.12 g/cm3
V: 57 Å³/cell
Energy of formation: 0.010 eV per atom

POSCAR file:
```
Ga
1.0
2.8457 0.0000 0.0000
-1.0166 4.7143 0.0000
-1.0366 -2.1051 4.2300
Ga
3
Direct
0.0000 0.0000 0.0000 Ga
0.4841 0.3240 0.6745 Ga
0.5159 0.6760 0.3255 Ga
```

Entry 18:
An optimized crystal structure of Ga. Source: Alexandria, functional PBE-GGA.

Properties
SG: No. 139
Theoretical density: 6.15 g/cm3
V: 19 Å³/cell
Energy of formation: 0.029 eV per atom

POSCAR file:
```
Ga
1.0
-1.5807 1.5807 1.8834
1.5807 -1.5807 1.8834
1.5807 1.5807 -1.8834
Ga
1
Direct
0.0000 0.0000 0.0000 Ga
```

Entry 19:
An optimized crystal structure of Ga. Source: Alexandria, functional PBE-GGA.

Properties
SG: No. 2
Theoretical density: 5.95 g/cm3
V: 234 Å³/cell
Energy of formation: 0.027 eV per atom

POSCAR file:
```
Ga
1.0
6.4258 0.0000 0.0000
-0.2301 6.4226 0.0000
-2.9564 -3.0646 5.6583
Ga
12
Direct
0.0000 0.0000 0.0000 Ga
0.0169 0.2289 0.7378 Ga
0.1901 0.6900 0.7173 Ga
0.2729 0.2259 0.5001 Ga
0.2730 0.4823 0.2636 Ga
0.4815 0.9817 0.2234 Ga
0.5000 0.5000 0.0000 Ga
0.5185 0.0183 0.7766 Ga
0.7270 0.5177 0.7364 Ga
0.7271 0.7741 0.4999 Ga
0.8099 0.3100 0.2827 Ga
0.9831 0.7711 0.2622 Ga
```

Entry 20:
An optimized crystal structure of Ga. Source: Alexandria, functional PBE-GGA.

Properties
SG: No. 87
Theoretical density: 5.40 g/cm3
V: 171 Å³/cell
Energy of formation: 0.079 eV per atom

POSCAR file:
```
Ga
1.0
-4.4158 4.4158 2.1982
4.4158 -4.4158 2.1982
4.4158 4.4158 -2.1982
Ga
8
Direct
0.0905 0.6407 0.7312 Ga
0.3084 0.4080 0.7164 Ga
0.3593 0.0905 0.4499 Ga
0.4080 0.6916 0.0996 Ga
0.5920 0.3084 0.9004 Ga
0.6407 0.9095 0.5501 Ga
0.6916 0.5920 0.2836 Ga
0.9095 0.3593 0.2688 Ga
```

Entry 21:
An optimized crystal structure of Ga. Source: Alexandria, functional PBE-GGA.

Properties
SG: No. 229
Theoretical density: 6.13 g/cm3
V: 19 Å³/cell
Energy of formation: 0.032 eV per atom

POSCAR file:
```
Ga
1.0
-1.6777 1.6777 1.6777
1.6777 -1.6777 1.6777
1.6777 1.6777 -1.6777
Ga
1
Direct
0.0000 0.0000 0.0000 Ga
```

Entry 22:
An optimized crystal structure of Ga. Source: Alexandria, functional PBE-GGA.

Properties
SG: No. 194
Theoretical density: 6.16 g/cm3
V: 38 Å³/cell
Energy of formation: 0.023 eV per atom

POSCAR file:
```
Ga
1.0
2.9246 0.0000 0.0000
-1.4623 2.5328 0.0000
0.0000 0.0000 5.0775
Ga
2
Direct
0.3333 0.6667 0.2500 Ga
0.6667 0.3333 0.7500 Ga
```

Entry 23:
An optimized crystal structure of Ga. Source: Alexandria, functional PBE-GGA.

Properties
SG: No. 63
Theoretical density: 5.45 g/cm3
V: 128 Å³/cell
Energy of formation: 0.088 eV per atom

POSCAR file:
```
Ga
1.0
6.5146 -2.1623 0.0000
6.5146 2.1623 0.0000
0.0000 0.0000 4.5272
Ga
6
Direct
0.1314 0.4940 0.7500 Ga
0.1478 0.8522 0.7500 Ga
0.4940 0.1314 0.2500 Ga
0.5060 0.8686 0.7500 Ga
0.8522 0.1478 0.2500 Ga
0.8686 0.5060 0.2500 Ga
```

Entry 24:
An optimized crystal structure of Ga. Source: Alexandria, functional PBE-GGA.

Properties
SG: No. 225
Theoretical density: 6.28 g/cm3
V: 18 Å³/cell
Energy of formation: 0.022 eV per atom

POSCAR file:
```
Ga
1.0
0.0000 2.0969 2.0969
2.0969 0.0000 2.0969
2.0969 2.0969 0.0000
Ga
1
Direct
0.0000 0.0000 0.0000 Ga
```

Entry 25:
An optimized crystal structure of Ga. Source: Alexandria, functional PBE-GGA.

Properties
SG: No. 63
Theoretical density: 5.51 g/cm3
V: 84 Å³/cell
Energy of formation: 0.000 eV per atom

POSCAR file:
```
Ga
1.0
3.9001 -2.3670 0.0000
3.9001 2.3670 0.0000
0.0000 0.0000 4.5524
Ga
4
Direct
0.0114 0.6644 0.7500 Ga
0.3356 0.9886 0.7500 Ga
0.6644 0.0114 0.2500 Ga
0.9886 0.3356 0.2500 Ga
```